(1)
Density functional theory data (GGA-PBE) for an optimized crystal structure of PaGaGeOs.

Results
The calculation puts the magnetization at 0.00 μB/atom. The calculation puts the energy of formation from the pure elements at 0.79 eV per formula unit. The value obtained for the raw total energy is -27.6 eV per cell. Its space-group type is No. 47.

Cell: 3.1612 5.0311 5.0280 Å, 90.00 90.00 90.00°
Positions (direct):
Pa  0.5000  0.5000  0.5000
Ga  0.0000  0.5000  0.0000
Ge  0.0000  0.0000  0.0000
Os  0.0000  0.0000  0.5000

---

(2)
Density functional theory data (GGA-PBE) for an optimized crystal structure of PmGa2GeOs2.

Results
The calculation puts the magnetization at 0.00 μB/atom. The calculation puts the energy of formation from the pure elements at 0.52 eV per formula unit. The value obtained for the raw total energy is -37.4 eV per cell. Its space-group type is No. 123.

Cell: 4.5776 4.5776 5.6650 Å, 90.00 90.00 90.00°
Positions (direct):
Pm  0.0000  0.0000  0.5000
Ga  0.5000  0.5000  0.7312
Ga  0.5000  0.5000  0.2688
Ge  0.0000  0.0000  0.0000
Os  0.5000  0.0000  0.0000
Os  0.0000  0.5000  0.0000

---

(3)
Density functional theory data (GGA-PBE) for an optimized crystal structure of GaGeOs2Pt.

Results
The calculation puts the magnetization at 0.00 μB/atom. The calculation puts the energy of formation from the pure elements at 8.55 eV per formula unit. The value obtained for the raw total energy is -27.6 eV per cell. Its space-group type is No. 123.

Cell: 4.5327 4.5479 4.5327 Å, 90.00 90.00 90.00°
Positions (direct):
Ge  0.0000  0.5000  0.0000
Os  0.0000  0.0000  0.5000
Os  0.5000  0.0000  0.0000
Ga  0.0000  0.0000  0.0000
Pt  0.5000  0.5000  0.5000

---

(4)
Density functional theory data (GGA-PBE) for an optimized crystal structure of Ga2GeOsRh.

Results
The calculation puts the magnetization at 0.00 μB/atom. The calculation puts the energy of formation from the pure elements at 4.17 eV per formula unit. The value obtained for the raw total energy is -25.1 eV per cell. Its space-group type is No. 123.

Cell: 4.6565 4.8240 4.6565 Å, 90.00 90.00 90.00°
Positions (direct):
Rh  0.0000  0.0000  0.0000
Ge  0.5000  0.5000  0.5000
Os  0.0000  0.5000  0.0000
Ga  0.0000  0.0000  0.5000
Ga  0.5000  0.0000  0.0000

---

(5)
Density functional theory data (GGA-PBE) for an optimized crystal structure of GaGeOsRu.

Results
The calculation puts the magnetization at 0.00 μB/atom. The calculation puts the energy of formation from the pure elements at -0.38 eV per formula unit. The value obtained for the raw total energy is -28.5 eV per cell. Its space-group type is No. 216.

Cell: 4.2975 4.2975 4.2975 Å, 60.00 60.00 60.00°
Positions (direct):
Ru  0.0000  0.0000  0.0000
Ge  0.7500  0.7500  0.7500
Os  0.5000  0.5000  0.5000
Ga  0.2500  0.2500  0.2500

---

(6)
Density functional theory data (GGA-PBE) for an optimized crystal structure of Sc2GaGeOs.

Results
The calculation puts the magnetization at 0.16 μB/atom. The calculation puts the energy of formation from the pure elements at 4.29 eV per formula unit. The value obtained for the raw total energy is -27.2 eV per cell. Its space-group type is No. 123.

Cell: 4.9605 4.4405 4.9605 Å, 90.00 90.00 90.00°
Positions (direct):
Sc  0.0000  0.0000  0.5000
Sc  0.5000  0.0000  0.0000
Ge  0.0000  0.5000  0.0000
Os  0.5000  0.5000  0.5000
Ga  0.0000  0.0000  0.0000